Crystalline CsHgAs at its relaxed geometry, computed with PBE-GGA.

abc: 9.1617 11.4286 6.2062
angles: 90.00 132.48 90.00
Last column: nearest neighbours and their distance in Å.
Sites, in units of the cell vectors:
Cs (0.0000, 0.2024, 0.0000)  4 As 3.83-3.96, 5 Hg 3.84-4.22
Cs (0.0000, 0.7976, 0.0000)  4 As 3.83-3.96, 5 Hg 3.84-4.22
Cs (0.5000, 0.2976, 0.0000)  4 As 3.83-3.96, 5 Hg 3.84-4.22
Cs (0.5000, 0.7024, 0.0000)  4 As 3.83-3.96, 5 Hg 3.84-4.22
Hg (0.3358, 0.5000, 0.3760)  2 As 2.89-2.94, 1 Hg 3.16
Hg (0.4284, 0.0000, 0.2185)  2 As 2.57-2.60
Hg (0.8358, 0.0000, 0.3760)  2 As 2.89-2.94, 1 Hg 3.16
Hg (0.9284, 0.5000, 0.2185)  2 As 2.57-2.60
As (0.0527, 0.5000, 0.7330)  1 As 2.53, 1 Hg 2.57
As (0.2490, 0.0000, 0.6695)  1 As 2.53, 1 Hg 2.60
As (0.5527, 0.0000, 0.7330)  1 As 2.53, 1 Hg 2.57
As (0.7490, 0.5000, 0.6695)  1 As 2.53, 1 Hg 2.60

Computed properties:
Total moment: 0.0 μB/f.u.
Crystal system: monoclinic
DFT total energy: -2.24 eV per atom
Energy of formation: -0.309 eV per atom
Volume: 39.936 A^3/atom